A relaxed YTeO3 crystal. Source: Alexandria, functional PBE.

Values from the calculation:
Space group ... No. 221
Formation energy without anion corrections ... -6.1 eV per formula unit
N(E_F) ... 0.60 states/eV/atom

a b c (Å): 4.3200 4.3200 4.3200
angles (deg): 90.00 90.00 90.00
With the nearest neighbours (Å) after each atom.
Positions (direct):
Y1 0.0000 0.0000 0.0000  6 O 2.16
Te1 0.5000 0.5000 0.5000  12 O 3.05
O1 0.0000 0.0000 0.5000  2 Y 2.16
O2 0.0000 0.5000 0.0000  2 Y 2.16
O3 0.5000 0.0000 0.0000  2 Y 2.16

=====

A relaxed Sn2Sb2Au crystal. Source: Alexandria, functional PBE.

Values from the calculation:
Space group ... No. 55
Formation energy without anion corrections ... 0.0 eV per formula unit
Distance to the lowest polymorph of the same formula ... 0.0 meV per atom
N(E_F) ... 0.53 states/eV/atom

a b c (Å): 5.9794 11.5322 3.9226
angles (deg): 90.00 90.00 90.00
With the nearest neighbours (Å) after each atom.
Positions (direct):
Sn1 0.1646 0.1706 0.0000  1 Au 2.81, 2 Sb 3.14
Sn2 0.3354 0.6706 0.0000  1 Au 2.81, 2 Sb 3.14
Sn3 0.6646 0.3294 0.0000  1 Au 2.81, 2 Sb 3.14
Sn4 0.8354 0.8294 0.0000  1 Au 2.81, 2 Sb 3.14
Sb1 0.2381 0.8770 0.5000  2 Au 2.88, 4 Sn 3.14-3.15
Sb2 0.2619 0.3770 0.5000  2 Au 2.88, 4 Sn 3.14-3.15
Sb3 0.7381 0.6230 0.5000  2 Au 2.88, 4 Sn 3.14-3.15
Sb4 0.7619 0.1230 0.5000  2 Au 2.88, 4 Sn 3.14-3.15
Au1 0.0000 0.5000 0.0000  2 Sn 2.81, 4 Sb 2.88
Au2 0.5000 0.0000 0.0000  2 Sn 2.81, 4 Sb 2.88

=====

A relaxed HfTlAg3 crystal. Source: Alexandria, functional PBE.

Values from the calculation:
Space group ... No. 221
Distance to the lowest polymorph of the same formula ... 0.0 meV per atom
Energy of formation from the pure elements ... 90.9 kJ per mole of atoms
N(E_F) ... 0.87 states/eV/atom

a b c (Å): 5.3619 5.3619 5.3619
angles (deg): 90.00 90.00 90.00
With the nearest neighbours (Å) after each atom.
Positions (direct):
Hf1 0.0000 0.0000 0.0000  6 Ag 2.68
Tl1 0.5000 0.5000 0.5000  12 Ag 3.79
Ag1 0.0000 0.0000 0.5000  2 Hf 2.68
Ag2 0.0000 0.5000 0.0000  2 Hf 2.68
Ag3 0.5000 0.0000 0.0000  2 Hf 2.68

=====

A relaxed TiBi3Rh crystal. Source: Alexandria, functional PBE.

Values from the calculation:
Space group ... No. 221
Distance to the lowest polymorph of the same formula ... 75.7 meV per atom
Energy of formation from the pure elements ... 69.0 kJ per mole of atoms
N(E_F) ... 0.59 states/eV/atom

a b c (Å): 5.2955 5.2955 5.2955
angles (deg): 90.00 90.00 90.00
With the nearest neighbours (Å) after each atom.
Positions (direct):
Ti1 0.0000 0.0000 0.0000  6 Bi 2.65
Bi1 0.0000 0.0000 0.5000  2 Ti 2.65
Bi2 0.0000 0.5000 0.0000  2 Ti 2.65
Bi3 0.5000 0.0000 0.0000  2 Ti 2.65
Rh1 0.5000 0.5000 0.5000  12 Bi 3.74

=====

A relaxed YTaW3 crystal. Source: Alexandria, functional PBE.

Values from the calculation:
Space group ... No. 221
Distance to the lowest polymorph of the same formula ... 0.0 meV per atom
Energy of formation from the pure elements ... 161.8 kJ per mole of atoms
N(E_F) ... 1.58 states/eV/atom

a b c (Å): 4.8625 4.8625 4.8625
angles (deg): 90.00 90.00 90.00
With the nearest neighbours (Å) after each atom.
Positions (direct):
Y1 0.0000 0.0000 0.0000  12 W 3.44
Ta1 0.5000 0.5000 0.5000  6 W 2.43
W1 0.0000 0.5000 0.5000  2 Ta 2.43
W2 0.5000 0.0000 0.5000  2 Ta 2.43
W3 0.5000 0.5000 0.0000  2 Ta 2.43

=====

A relaxed Nb2CrReTc crystal. Source: Alexandria, functional PBE.

Values from the calculation:
Space group ... No. 123
Energy of formation from the pure elements ... 172.0 kJ per mole of atoms
N(E_F) ... 1.55 states/eV/atom

a b c (Å): 4.7249 4.7249 4.6458
angles (deg): 90.00 90.00 90.00
With the nearest neighbours (Å) after each atom.
Positions (direct):
Nb1 0.0000 0.5000 0.0000  2 Tc 2.36
Nb2 0.5000 0.0000 0.0000  2 Tc 2.36
Cr1 0.0000 0.0000 0.5000  8 Nb 3.31, 4 Re 3.34
Re1 0.5000 0.5000 0.5000  2 Tc 2.32
Tc1 0.5000 0.5000 0.0000  2 Re 2.32, 4 Nb 2.36

=====

no.,E (eV per atom)
1,-6.115
2,-3.896
3,-3.233
4,-4.663
5,-9.758
6,-8.733